1.
Density functional theory data (PBE) for a relaxed structure of Ba2CdRe.

The value obtained for the energy of formation from the pure elements is 3.659 eV per formula unit. The total magnetization is 3.0 μB/cell.

The space group is C2/m (No. 12) and the conventional cell measures 8.596, 3.489 and 9.431 Å, with angles of 90.00, 97.19 and 90.00 degrees. The asymmetric unit holds Ba at (0.243, 0.000, 0.211), Cd at (0.000, 0.000, 0.500) and Re at (0.000, 0.500, 0.000).

2.
Density functional theory data (PBE) for a relaxed structure of BaCdRe3.

The value obtained for the energy of formation from the pure elements is 13.360 eV per formula unit. For the relative energy among the computed polymorphs, the calculation gives 0.0 meV/atom. The total magnetization is 5.1 μB/cell.

The space group is Pm-3m (No. 221) and the conventional cell measures 5.056, 5.056 and 5.056 Å, with angles of 90.00, 90.00 and 90.00 degrees. The asymmetric unit holds Ba at (0.000, 0.000, 0.000), Cd at (0.500, 0.500, 0.500) and Re at (0.000, 0.500, 0.500).

3.
Density functional theory data (PBE) for a relaxed structure of BaCdRe.

The value obtained for the energy of formation from the pure elements is 2.725 eV per formula unit. For the relative energy among the computed polymorphs, the calculation gives 0.0 meV/atom. The total magnetization is 0.0 μB/cell.

The space group is Imm2 (No. 44) and the conventional cell measures 3.032, 4.389 and 11.663 Å, with angles of 90.00, 90.00 and 90.00 degrees. The asymmetric unit holds Ba at (0.000, 0.000, 0.000), Cd at (0.000, 0.000, 0.717) and Re at (0.000, 0.000, 0.300).

4.
Density functional theory data (PBE) for a relaxed structure of BaCd2Re.

The value obtained for the energy of formation from the pure elements is 3.485 eV per formula unit. For the relative energy among the computed polymorphs, the calculation gives 257.0 meV/atom. The total magnetization is 5.9 μB/cell.

The space group is I-42d (No. 122) and the conventional cell measures 5.172, 5.172 and 19.289 Å, with angles of 90.00, 90.00 and 90.00 degrees. The asymmetric unit holds Ba at (0.000, 0.000, 0.000), Cd at (0.086, 0.250, 0.625) and Re at (0.000, 0.000, 0.500).

5.
Density functional theory data (PBE) for a relaxed structure of Ba2CdRe.

The value obtained for the energy of formation from the pure elements is 3.698 eV per formula unit. The total magnetization is 6.4 μB/cell.

The space group is F-43m (No. 216) and the conventional cell measures 7.732, 7.732 and 7.732 Å, with angles of 90.00, 90.00 and 90.00 degrees. The asymmetric unit holds Ba at (0.000, 0.000, 0.000), Ba at (0.250, 0.250, 0.250), Cd at (0.000, 0.000, 0.500) and Re at (0.250, 0.250, 0.750).

6.
Density functional theory data (PBE) for a relaxed structure of Ba2CdRe.

The value obtained for the energy of formation from the pure elements is 3.234 eV per formula unit. The total magnetization is 4.3 μB/cell.

The space group is Cmmm (No. 65) and the conventional cell measures 8.286, 8.295 and 3.769 Å, with angles of 90.00, 90.00 and 90.00 degrees. The asymmetric unit holds Ba at (0.250, 0.250, 0.000), Cd at (0.000, 0.000, 0.500) and Re at (0.000, 0.500, 0.500).

Please write out number 2 again, unchanged.
Density functional theory data (PBE) for a relaxed structure of BaCdRe3.

The value obtained for the energy of formation from the pure elements is 13.360 eV per formula unit. For the relative energy among the computed polymorphs, the calculation gives 0.0 meV/atom. The total magnetization is 5.1 μB/cell.

The space group is Pm-3m (No. 221) and the conventional cell measures 5.056, 5.056 and 5.056 Å, with angles of 90.00, 90.00 and 90.00 degrees. The asymmetric unit holds Ba at (0.000, 0.000, 0.000), Cd at (0.500, 0.500, 0.500) and Re at (0.000, 0.500, 0.500).

Q: The highest energy of formation from the pure elements belongs to which entry?
A: BaCdRe3

Q: Which of these has the lowest energy of formation from the pure elements?
A: BaCdRe

Q: What is the energy of formation from the pure elements in the fourth record?
A: 3.485 eV per formula unit